HfAl2Ir: optimized geometry, PBE-GGA.

```
HfAl2Ir
1.0
2.995 0.000 0.000
0.000 2.995 0.000
0.000 0.000 7.226
Hf Al Ir
1 2 1
direct
0.000 0.000 0.000 Hf
0.500 0.500 0.289 Al
0.500 0.500 0.711 Al
0.000 0.000 0.500 Ir
```

Calculated values
ρ	10.88	g cm⁻³
spin magnetization	0.000	μB per atom
ΔE_f	-0.65	eV per atom